Y2CuTe4 | PBE | optimized geometry

Lattice parameters (Å, degrees): 12.1987 12.1987 12.1987 90.00 90.00 90.00
Space group Fd-3m (No. 227, origin choice 2)
Inequivalent atoms, fractional coordinates:
Y  0.0000  0.0000  0.0000
Cu  0.1250  0.1250  0.6250
Te  0.0017  0.0017  0.7483

Properties
energy	-5.145	eV/atom
size of the total moment	0.0008	μB per atom